<P>
DFT (GGA-PBEsol) results for a relaxed structure of Co2Sb2S.

## Properties
Spin magnetization, μB/cell: 2.6

Lattice parameters (Å, degrees): 4.246 4.246 10.031 90.00 90.00 90.00
Space group I4/mmm (No. 139)
One atom of each set of equivalent atoms:
Co: 0.000 0.000 0.113 [4 per cell]
Sb: 0.000 0.500 0.250 [4 per cell]
S: 0.000 0.000 0.500 [2 per cell]


<Q>
DFT (GGA-PBEsol) results for a relaxed structure of Co2Sb2S.

## Properties
Spin magnetization, μB/cell: 0.0

Lattice parameters (Å, degrees): 6.888 6.888 3.338 90.00 90.00 90.00
Space group P4/mbm (No. 127)
One atom of each set of equivalent atoms:
Co: 0.134 0.366 0.000 [4 per cell]
Sb: 0.159 0.659 0.500 [4 per cell]
S: 0.000 0.000 0.000 [2 per cell]


Ranking the structures above by stability puts <Q> first and <P> last.